# 1
Here is a relaxed structure of CsRbCd17 from the Alexandria database. Energies are from PBE.

Cell lengths 7.9918, 7.9918, 7.9918 Å; angles 82.84, 82.84, 82.84 degrees
With the nearest neighbours (Å) after each atom.
Fractional positions:
Cd  0.8528  0.3465  0.3465  9 Cd 3.05-3.27
Cd  0.0995  0.0995  0.0995  7 Cd 3.04-3.27
Cd  0.2923  0.0012  0.7069  8 Cd 3.03-3.25
Cd  0.9031  0.9031  0.9031  7 Cd 3.04-3.34
Cd  0.0012  0.2923  0.7069  8 Cd 3.03-3.25
Cd  0.6503  0.1522  0.6503  9 Cd 3.06-3.34
Cd  0.3465  0.3465  0.8528  9 Cd 3.05-3.27
Cd  0.7069  0.0012  0.2923  8 Cd 3.03-3.25
Cd  0.3465  0.8528  0.3465  9 Cd 3.05-3.27
Cd  0.7069  0.2923  0.0012  8 Cd 3.03-3.25
Cd  0.2923  0.7069  0.0012  8 Cd 3.03-3.25
Cd  0.1522  0.6503  0.6503  9 Cd 3.06-3.34
Rb  0.3425  0.3425  0.3425  19 Cd 3.75-4.10
Cd  0.5016  0.9990  0.9990  10 Cd 3.03-3.24
Cd  0.6503  0.6503  0.1522  9 Cd 3.06-3.34
Cd  0.9990  0.5016  0.9990  10 Cd 3.03-3.24
Cs  0.6559  0.6559  0.6559  19 Cd 3.77-4.09
Cd  0.9990  0.9990  0.5016  10 Cd 3.03-3.24
Cd  0.0012  0.7069  0.2923  8 Cd 3.03-3.25

Calculated values
**Volume**: 26.284 Å³ per atom
**Size of the total moment**: 0.000 μB per formula unit
**Space-group type**: No. 160
**DOS(E_F)**: 0.29 states/eV per atom
**ΔE_f**: -39.1 meV/atom
**DFT total energy**: -0.954 eV/atom



# 2
Here is a relaxed structure of CsRbCd from the Alexandria database. Energies are from PBE.

Cell lengths 6.5859, 6.5859, 6.5859 Å; angles 60.00, 60.00, 60.00 degrees
With the nearest neighbours (Å) after each atom.
Fractional positions:
Cd  0.2500  0.2500  0.2500  4 Rb 4.03, 4 Cs 4.03
Cs  0.0000  0.0000  0.0000  4 Cd 4.03
Rb  0.5000  0.5000  0.5000  4 Cd 4.03

Calculated values
**Volume**: 67.330 Å³ per atom
**Size of the total moment**: 0.000 μB per formula unit
**Space-group type**: No. 216
**DOS(E_F)**: 0.31 states/eV per atom
**Polymorph energy (0 for the lowest one)**: 50.6 meV/atom
**ΔE_f**: 20.4 meV/atom
**DFT total energy**: -0.892 eV/atom



Q: Among the records above, which one has the lowest ΔE_f?
A: CsRbCd17



Q: What is the DFT total energy in the second record?
A: -0.892 eV/atom